Entry 1:
# AsRuCl, relaxed, DFT PBE
data_AsRuCl
_symmetry_space_group_name_H-M 'P 1'
_symmetry_Int_Tables_number 1
_cell_length_a 4.236
_cell_length_b 4.236
_cell_length_c 4.236
_cell_angle_alpha 60.00
_cell_angle_beta 60.00
_cell_angle_gamma 60.00
loop_
_symmetry_equiv_pos_as_xyz
'x,y,z'
loop_
_atom_site_label
_atom_site_fract_x
_atom_site_fract_y
_atom_site_fract_z
_atom_site_occupancy
As1 0.000 0.000 0.000 1
Ru1 0.750 0.750 0.750 1
Cl1 0.500 0.500 0.500 1
# Formation energy (no corrections) (eV per atom): 0.092
# Distance to the lowest polymorph of the same formula (eV per formula unit): 0.69


Entry 2:
# Rb2CdPdCl6, relaxed, DFT PBE
data_Rb2CdPdCl6
_symmetry_space_group_name_H-M 'P 1'
_symmetry_Int_Tables_number 1
_cell_length_a 13.103
_cell_length_b 13.103
_cell_length_c 13.103
_cell_angle_alpha 32.18
_cell_angle_beta 32.18
_cell_angle_gamma 32.18
loop_
_symmetry_equiv_pos_as_xyz
'x,y,z'
loop_
_atom_site_label
_atom_site_fract_x
_atom_site_fract_y
_atom_site_fract_z
_atom_site_occupancy
Rb1 0.125 0.125 0.125 1
Rb2 0.295 0.295 0.295 1
Rb3 0.705 0.705 0.705 1
Rb4 0.875 0.875 0.875 1
Cd1 0.414 0.414 0.414 1
Cd2 0.586 0.586 0.586 1
Pd1 0.000 0.000 0.000 1
Pd2 0.500 0.500 0.500 1
Cl1 0.132 0.622 0.622 1
Cl2 0.202 0.202 0.712 1
Cl3 0.202 0.712 0.202 1
Cl4 0.288 0.798 0.798 1
Cl5 0.378 0.378 0.868 1
Cl6 0.378 0.868 0.378 1
Cl7 0.622 0.132 0.622 1
Cl8 0.622 0.622 0.132 1
Cl9 0.712 0.202 0.202 1
Cl10 0.798 0.288 0.798 1
Cl11 0.798 0.798 0.288 1
Cl12 0.868 0.378 0.378 1
# Formation energy (no corrections) (eV per atom): -1.208


Entry 3:
# Mn4Os, relaxed, DFT PBE
data_Mn4Os
_symmetry_space_group_name_H-M 'P 1'
_symmetry_Int_Tables_number 1
_cell_length_a 5.433
_cell_length_b 5.433
_cell_length_c 5.433
_cell_angle_alpha 141.65
_cell_angle_beta 141.65
_cell_angle_gamma 55.36
loop_
_symmetry_equiv_pos_as_xyz
'x,y,z'
loop_
_atom_site_label
_atom_site_fract_x
_atom_site_fract_y
_atom_site_fract_z
_atom_site_occupancy
Mn1 0.107 0.107 0.000 1
Mn2 0.250 0.750 0.500 1
Mn3 0.750 0.250 0.500 1
Mn4 0.893 0.893 0.000 1
Os1 0.500 0.500 0.000 1
# Distance to the lowest polymorph of the same formula (eV per formula unit): 2.15


Entry 4:
# LaHoGa6, relaxed, DFT PBE
data_LaHoGa6
_symmetry_space_group_name_H-M 'P 1'
_symmetry_Int_Tables_number 1
_cell_length_a 6.427
_cell_length_b 6.427
_cell_length_c 4.607
_cell_angle_alpha 90.00
_cell_angle_beta 90.00
_cell_angle_gamma 120.00
loop_
_symmetry_equiv_pos_as_xyz
'x,y,z'
loop_
_atom_site_label
_atom_site_fract_x
_atom_site_fract_y
_atom_site_fract_z
_atom_site_occupancy
La1 0.000 0.000 0.000 1
Ho1 0.667 0.333 0.500 1
Ga1 0.041 0.520 0.000 1
Ga2 0.192 0.383 0.500 1
Ga3 0.192 0.808 0.500 1
Ga4 0.480 0.520 0.000 1
Ga5 0.480 0.959 0.000 1
Ga6 0.617 0.808 0.500 1
# E_tot (eV per atom): -4.009


Entry 5:
# MgMnI2N, relaxed, DFT PBE
data_MgMnI2N
_symmetry_space_group_name_H-M 'P 1'
_symmetry_Int_Tables_number 1
_cell_length_a 5.802
_cell_length_b 5.802
_cell_length_c 4.009
_cell_angle_alpha 90.00
_cell_angle_beta 90.00
_cell_angle_gamma 90.00
loop_
_symmetry_equiv_pos_as_xyz
'x,y,z'
loop_
_atom_site_label
_atom_site_fract_x
_atom_site_fract_y
_atom_site_fract_z
_atom_site_occupancy
Mg1 0.000 0.000 0.000 1
Mn1 0.500 0.500 0.500 1
I1 0.000 0.500 0.000 1
I2 0.500 0.000 0.000 1
N1 0.000 0.000 0.500 1
# Formation energy (no corrections) (eV per atom): 0.533
# Distance to the lowest polymorph of the same formula (eV per formula unit): 2.15


Entry 6:
# Sm2SnPt4, relaxed, DFT PBE
data_Sm2SnPt4
_symmetry_space_group_name_H-M 'P 1'
_symmetry_Int_Tables_number 1
_cell_length_a 8.138
_cell_length_b 8.138
_cell_length_c 8.138
_cell_angle_alpha 144.66
_cell_angle_beta 144.66
_cell_angle_gamma 50.84
loop_
_symmetry_equiv_pos_as_xyz
'x,y,z'
loop_
_atom_site_label
_atom_site_fract_x
_atom_site_fract_y
_atom_site_fract_z
_atom_site_occupancy
Sm1 0.135 0.135 0.000 1
Sm2 0.865 0.865 0.000 1
Sn1 0.500 0.500 0.000 1
Pt1 0.000 0.500 0.500 1
Pt2 0.319 0.319 0.000 1
Pt3 0.500 0.000 0.500 1
Pt4 0.681 0.681 0.000 1
# E_tot (eV per atom): -5.719


Entry 7:
# SmMgAl2Pt2, relaxed, DFT PBE
data_SmMgAl2Pt2
_symmetry_space_group_name_H-M 'P 1'
_symmetry_Int_Tables_number 1
_cell_length_a 4.422
_cell_length_b 4.422
_cell_length_c 6.719
_cell_angle_alpha 90.00
_cell_angle_beta 90.00
_cell_angle_gamma 120.00
loop_
_symmetry_equiv_pos_as_xyz
'x,y,z'
loop_
_atom_site_label
_atom_site_fract_x
_atom_site_fract_y
_atom_site_fract_z
_atom_site_occupancy
Sm1 0.000 0.000 0.000 1
Mg1 0.000 0.000 0.500 1
Al1 0.333 0.667 0.688 1
Al2 0.667 0.333 0.312 1
Pt1 0.333 0.667 0.285 1
Pt2 0.667 0.333 0.715 1
# E_tot (eV per atom): -5.283


Entry 8:
# PmPr8Rh2, relaxed, DFT PBE
data_PmPr8Rh2
_symmetry_space_group_name_H-M 'P 1'
_symmetry_Int_Tables_number 1
_cell_length_a 8.326
_cell_length_b 8.326
_cell_length_c 5.826
_cell_angle_alpha 96.23
_cell_angle_beta 96.23
_cell_angle_gamma 115.65
loop_
_symmetry_equiv_pos_as_xyz
'x,y,z'
loop_
_atom_site_label
_atom_site_fract_x
_atom_site_fract_y
_atom_site_fract_z
_atom_site_occupancy
Pm1 0.000 0.000 0.000 1
Pr1 0.079 0.333 0.573 1
Pr2 0.255 0.745 0.000 1
Pr3 0.333 0.079 0.573 1
Pr4 0.402 0.402 0.204 1
Pr5 0.598 0.598 0.796 1
Pr6 0.667 0.921 0.427 1
Pr7 0.745 0.255 0.000 1
Pr8 0.921 0.667 0.427 1
Rh1 0.297 0.703 0.500 1
Rh2 0.703 0.297 0.500 1
# E_tot (eV per atom): -5.420


Entry 9:
# BaCrN2, relaxed, DFT PBE
data_BaCrN2
_symmetry_space_group_name_H-M 'P 1'
_symmetry_Int_Tables_number 1
_cell_length_a 6.468
_cell_length_b 6.468
_cell_length_c 7.830
_cell_angle_alpha 90.00
_cell_angle_beta 90.00
_cell_angle_gamma 125.89
loop_
_symmetry_equiv_pos_as_xyz
'x,y,z'
loop_
_atom_site_label
_atom_site_fract_x
_atom_site_fract_y
_atom_site_fract_z
_atom_site_occupancy
Ba1 0.159 0.841 0.940 1
Ba2 0.341 0.659 0.440 1
Ba3 0.659 0.341 0.560 1
Ba4 0.841 0.159 0.060 1
Cr1 0.051 0.949 0.365 1
Cr2 0.449 0.551 0.865 1
Cr3 0.551 0.449 0.135 1
Cr4 0.949 0.051 0.635 1
N1 0.106 0.894 0.589 1
N2 0.157 0.343 0.750 1
N3 0.343 0.157 0.250 1
N4 0.394 0.606 0.089 1
N5 0.606 0.394 0.911 1
N6 0.657 0.843 0.750 1
N7 0.843 0.657 0.250 1
N8 0.894 0.106 0.411 1
# Formation energy (no corrections) (eV per atom): -0.815


Entry 10:
# Zn2AsPb, relaxed, DFT PBE
data_Zn2AsPb
_symmetry_space_group_name_H-M 'P 1'
_symmetry_Int_Tables_number 1
_cell_length_a 4.521
_cell_length_b 4.521
_cell_length_c 4.713
_cell_angle_alpha 104.17
_cell_angle_beta 104.17
_cell_angle_gamma 94.35
loop_
_symmetry_equiv_pos_as_xyz
'x,y,z'
loop_
_atom_site_label
_atom_site_fract_x
_atom_site_fract_y
_atom_site_fract_z
_atom_site_occupancy
Zn1 0.000 0.500 0.000 1
Zn2 0.500 0.000 0.000 1
As1 0.000 0.000 0.500 1
Pb1 0.500 0.500 0.500 1
# E_tot (eV per atom): -2.510


Entry 11:
# KCu6As2, relaxed, DFT PBE
data_KCu6As2
_symmetry_space_group_name_H-M 'P 1'
_symmetry_Int_Tables_number 1
_cell_length_a 4.150
_cell_length_b 4.150
_cell_length_c 9.062
_cell_angle_alpha 90.00
_cell_angle_beta 90.00
_cell_angle_gamma 90.00
loop_
_symmetry_equiv_pos_as_xyz
'x,y,z'
loop_
_atom_site_label
_atom_site_fract_x
_atom_site_fract_y
_atom_site_fract_z
_atom_site_occupancy
K1 0.000 0.000 0.000 1
Cu1 0.000 0.000 0.500 1
Cu2 0.000 0.500 0.339 1
Cu3 0.000 0.500 0.661 1
Cu4 0.500 0.000 0.339 1
Cu5 0.500 0.000 0.661 1
Cu6 0.500 0.500 0.500 1
As1 0.500 0.500 0.204 1
As2 0.500 0.500 0.796 1
# E_tot (eV per atom): -3.990


Entry 12:
# CeSi3Ni10, relaxed, DFT PBE
data_CeSi3Ni10
_symmetry_space_group_name_H-M 'P 1'
_symmetry_Int_Tables_number 1
_cell_length_a 8.031
_cell_length_b 8.031
_cell_length_c 8.031
_cell_angle_alpha 60.00
_cell_angle_beta 60.00
_cell_angle_gamma 60.00
loop_
_symmetry_equiv_pos_as_xyz
'x,y,z'
loop_
_atom_site_label
_atom_site_fract_x
_atom_site_fract_y
_atom_site_fract_z
_atom_site_occupancy
Ce1 0.250 0.250 0.250 1
Ce2 0.750 0.750 0.750 1
Si1 0.237 0.237 0.763 1
Si2 0.237 0.763 0.237 1
Si3 0.237 0.763 0.763 1
Si4 0.763 0.237 0.237 1
Si5 0.763 0.237 0.763 1
Si6 0.763 0.763 0.237 1
Ni1 0.115 0.115 0.115 1
Ni2 0.115 0.115 0.654 1
Ni3 0.115 0.654 0.115 1
Ni4 0.147 0.500 0.500 1
Ni5 0.147 0.500 0.853 1
Ni6 0.147 0.853 0.500 1
Ni7 0.346 0.885 0.885 1
Ni8 0.500 0.147 0.500 1
Ni9 0.500 0.147 0.853 1
Ni10 0.500 0.500 0.147 1
Ni11 0.500 0.500 0.853 1
Ni12 0.500 0.853 0.147 1
Ni13 0.500 0.853 0.500 1
Ni14 0.654 0.115 0.115 1
Ni15 0.853 0.147 0.500 1
Ni16 0.853 0.500 0.147 1
Ni17 0.853 0.500 0.500 1
Ni18 0.885 0.346 0.885 1
Ni19 0.885 0.885 0.346 1
Ni20 0.885 0.885 0.885 1
# Formation energy (no corrections) (eV per atom): -0.372


Entry 13:
# Sm8Ga3IrI4, relaxed, DFT PBE
data_Sm8Ga3IrI4
_symmetry_space_group_name_H-M 'P 1'
_symmetry_Int_Tables_number 1
_cell_length_a 8.605
_cell_length_b 8.605
_cell_length_c 9.150
_cell_angle_alpha 118.09
_cell_angle_beta 118.09
_cell_angle_gamma 59.95
loop_
_symmetry_equiv_pos_as_xyz
'x,y,z'
loop_
_atom_site_label
_atom_site_fract_x
_atom_site_fract_y
_atom_site_fract_z
_atom_site_occupancy
Sm1 0.225 0.225 0.696 1
Sm2 0.225 0.746 0.696 1
Sm3 0.254 0.775 0.304 1
Sm4 0.262 0.262 0.287 1
Sm5 0.738 0.738 0.713 1
Sm6 0.746 0.225 0.696 1
Sm7 0.775 0.254 0.304 1
Sm8 0.775 0.775 0.304 1
Ga1 0.000 0.500 0.500 1
Ga2 0.500 0.000 0.500 1
Ga3 0.500 0.500 0.500 1
Ir1 0.000 0.000 0.500 1
I1 0.000 0.000 0.000 1
I2 0.000 0.500 0.000 1
I3 0.500 0.000 0.000 1
I4 0.500 0.500 0.000 1
# Formation energy (no corrections) (eV per atom): -0.776


Entry 14:
# Ho4MgPt, relaxed, DFT PBE
data_Ho4MgPt
_symmetry_space_group_name_H-M 'P 1'
_symmetry_Int_Tables_number 1
_cell_length_a 9.719
_cell_length_b 9.719
_cell_length_c 9.719
_cell_angle_alpha 60.00
_cell_angle_beta 60.00
_cell_angle_gamma 60.00
loop_
_symmetry_equiv_pos_as_xyz
'x,y,z'
loop_
_atom_site_label
_atom_site_fract_x
_atom_site_fract_y
_atom_site_fract_z
_atom_site_occupancy
Ho1 0.184 0.184 0.816 1
Ho2 0.184 0.816 0.184 1
Ho3 0.184 0.816 0.816 1
Ho4 0.401 0.401 0.401 1
Ho5 0.401 0.401 0.798 1
Ho6 0.401 0.798 0.401 1
Ho7 0.560 0.560 0.940 1
Ho8 0.560 0.940 0.560 1
Ho9 0.560 0.940 0.940 1
Ho10 0.798 0.401 0.401 1
Ho11 0.816 0.184 0.184 1
Ho12 0.816 0.184 0.816 1
Ho13 0.816 0.816 0.184 1
Ho14 0.940 0.560 0.560 1
Ho15 0.940 0.560 0.940 1
Ho16 0.940 0.940 0.560 1
Mg1 0.170 0.170 0.170 1
Mg2 0.170 0.170 0.491 1
Mg3 0.170 0.491 0.170 1
Mg4 0.491 0.170 0.170 1
Pt1 0.177 0.608 0.608 1
Pt2 0.608 0.177 0.608 1
Pt3 0.608 0.608 0.177 1
Pt4 0.608 0.608 0.608 1
# Distance to the lowest polymorph of the same formula (eV per formula unit): 0.00


Entry 15:
# Li2PrGePd2, relaxed, DFT PBE
data_Li2PrGePd2
_symmetry_space_group_name_H-M 'P 1'
_symmetry_Int_Tables_number 1
_cell_length_a 4.766
_cell_length_b 4.766
_cell_length_c 5.820
_cell_angle_alpha 90.00
_cell_angle_beta 90.00
_cell_angle_gamma 90.00
loop_
_symmetry_equiv_pos_as_xyz
'x,y,z'
loop_
_atom_site_label
_atom_site_fract_x
_atom_site_fract_y
_atom_site_fract_z
_atom_site_occupancy
Li1 0.000 0.000 0.229 1
Li2 0.000 0.000 0.771 1
Pr1 0.500 0.500 0.500 1
Ge1 0.500 0.500 0.000 1
Pd1 0.000 0.500 0.000 1
Pd2 0.500 0.000 0.000 1
# E_tot (eV per atom): -4.267


Entry 16:
# TeOsRh4, relaxed, DFT PBE
data_TeOsRh4
_symmetry_space_group_name_H-M 'P 1'
_symmetry_Int_Tables_number 1
_cell_length_a 5.168
_cell_length_b 5.168
_cell_length_c 5.168
_cell_angle_alpha 60.00
_cell_angle_beta 60.00
_cell_angle_gamma 60.00
loop_
_symmetry_equiv_pos_as_xyz
'x,y,z'
loop_
_atom_site_label
_atom_site_fract_x
_atom_site_fract_y
_atom_site_fract_z
_atom_site_occupancy
Te1 0.000 0.000 0.000 1
Os1 0.250 0.250 0.250 1
Rh1 0.128 0.624 0.624 1
Rh2 0.624 0.128 0.624 1
Rh3 0.624 0.624 0.128 1
Rh4 0.624 0.624 0.624 1
# Formation energy (no corrections) (eV per atom): 0.657


Entry 17:
# KRb2Se2, relaxed, DFT PBE
data_KRb2Se2
_symmetry_space_group_name_H-M 'P 1'
_symmetry_Int_Tables_number 1
_cell_length_a 9.772
_cell_length_b 9.772
_cell_length_c 3.746
_cell_angle_alpha 90.00
_cell_angle_beta 90.00
_cell_angle_gamma 90.00
loop_
_symmetry_equiv_pos_as_xyz
'x,y,z'
loop_
_atom_site_label
_atom_site_fract_x
_atom_site_fract_y
_atom_site_fract_z
_atom_site_occupancy
K1 0.000 0.000 0.000 1
K2 0.500 0.500 0.000 1
Rb1 0.123 0.377 0.000 1
Rb2 0.377 0.877 0.000 1
Rb3 0.623 0.123 0.000 1
Rb4 0.877 0.623 0.000 1
Se1 0.177 0.677 0.500 1
Se2 0.323 0.177 0.500 1
Se3 0.677 0.823 0.500 1
Se4 0.823 0.323 0.500 1
# Formation energy (no corrections) (eV per atom): -0.818
# Distance to the lowest polymorph of the same formula (eV per formula unit): 0.21


Entry 18:
# GaGeSe, relaxed, DFT PBE
data_GaGeSe
_symmetry_space_group_name_H-M 'P 1'
_symmetry_Int_Tables_number 1
_cell_length_a 5.594
_cell_length_b 5.594
_cell_length_c 7.531
_cell_angle_alpha 105.68
_cell_angle_beta 105.68
_cell_angle_gamma 41.75
loop_
_symmetry_equiv_pos_as_xyz
'x,y,z'
loop_
_atom_site_label
_atom_site_fract_x
_atom_site_fract_y
_atom_site_fract_z
_atom_site_occupancy
Ga1 0.000 0.000 0.000 1
Ga2 0.217 0.217 0.262 1
Ge1 0.109 0.109 0.521 1
Ge2 0.644 0.644 0.734 1
Se1 0.414 0.414 0.791 1
Se2 0.872 0.872 0.262 1
# Formation energy (no corrections) (eV per atom): -0.169


Entry 19:
# InIr2Br, relaxed, DFT PBE
data_InIr2Br
_symmetry_space_group_name_H-M 'P 1'
_symmetry_Int_Tables_number 1
_cell_length_a 2.960
_cell_length_b 4.617
_cell_length_c 5.214
_cell_angle_alpha 90.00
_cell_angle_beta 90.00
_cell_angle_gamma 90.00
loop_
_symmetry_equiv_pos_as_xyz
'x,y,z'
loop_
_atom_site_label
_atom_site_fract_x
_atom_site_fract_y
_atom_site_fract_z
_atom_site_occupancy
In1 0.000 0.000 0.000 1
Ir1 0.000 0.500 0.500 1
Ir2 0.500 0.500 0.000 1
Br1 0.500 0.000 0.500 1
# Formation energy (no corrections) (eV per atom): 0.615
# Distance to the lowest polymorph of the same formula (eV per formula unit): 1.29


Entry 20:
# PuPaGa, relaxed, DFT PBE
data_PuPaGa
_symmetry_space_group_name_H-M 'P 1'
_symmetry_Int_Tables_number 1
_cell_length_a 5.817
_cell_length_b 5.817
_cell_length_c 5.817
_cell_angle_alpha 130.26
_cell_angle_beta 119.97
_cell_angle_gamma 81.62
loop_
_symmetry_equiv_pos_as_xyz
'x,y,z'
loop_
_atom_site_label
_atom_site_fract_x
_atom_site_fract_y
_atom_site_fract_z
_atom_site_occupancy
Pu1 0.168 0.168 0.000 1
Pu2 0.832 0.832 0.000 1
Pa1 0.319 0.819 0.500 1
Pa2 0.681 0.181 0.500 1
Ga1 0.254 0.500 0.754 1
Ga2 0.746 0.500 0.246 1
# Distance to the lowest polymorph of the same formula (eV per formula unit): 0.49


Magnetic moment: 0.000, 1.084, 0.019, 0.000, 6.771, 0.000, 0.000, 0.000, 0.000, 0.000, 0.000, 0.000, 0.000, 0.000, 0.000, 2.019, 0.000, 0.000, 0.000, 4.926 (μB per formula unit)